# PBE-GGA MgTl2InCl5, relaxed
data_MgTl2InCl5
_space_group_name_H-M_alt 'P 1'
_space_group_IT_number 1
_cell_length_a 8.8237
_cell_length_b 8.8237
_cell_length_c 8.8237
_cell_angle_alpha 147.75
_cell_angle_beta 130.93
_cell_angle_gamma 59.95
loop_
_space_group_symop_operation_xyz
'x,y,z'
loop_
_atom_site_label
_atom_site_type_symbol
_atom_site_fract_x
_atom_site_fract_y
_atom_site_fract_z
_atom_site_occupancy
Mg1 Mg 0.0000 0.0000 0.0000 1
Tl1 Tl 0.2065 0.7065 0.5000 1
Tl2 Tl 0.7935 0.2935 0.5000 1
In1 In 0.5000 0.5000 0.0000 1
Cl1 Cl 0.0000 0.5000 0.5000 1
Cl2 Cl 0.1262 0.8822 0.2440 1
Cl3 Cl 0.3618 0.1178 0.2440 1
Cl4 Cl 0.6382 0.8822 0.7560 1
Cl5 Cl 0.8738 0.1178 0.7560 1
# E_tot	-3.257	eV/atom
# raw formation energy	-11.02	eV per formula unit
# D(E_F)	0.00	states/eV/cell